## Nd2DyCoO6 (PBE+U)

Data for an optimized crystal structure of Nd2DyCoO6.

Unit cell a=5.532 b=5.744 c=9.600 alpha=90.00 beta=124.21 gamma=90.00
Atoms (fractional coordinates):
Nd 0.232 0.057 0.249
Nd 0.232 0.443 0.749
Nd 0.768 0.557 0.251
Nd 0.768 0.943 0.751
Dy 0.500 0.000 0.000
Dy 0.500 0.500 0.500
Co 0.000 0.000 0.500
Co 0.000 0.500 0.000
O 0.124 0.217 0.943
O 0.124 0.283 0.443
O 0.229 0.688 0.947
O 0.229 0.812 0.447
O 0.336 0.035 0.732
O 0.336 0.465 0.232
O 0.664 0.535 0.768
O 0.664 0.965 0.268
O 0.771 0.188 0.553
O 0.771 0.312 0.053
O 0.876 0.717 0.557
O 0.876 0.783 0.057

Results
Size of the total moment, μB/cell: 0.001
Theoretical density, g cm⁻³: 8.0
Total energy, eV/atom: -7.64